First-principles (PBE) data for a relaxed structure of Mg2TaSb, as listed in the Alexandria database.

Summary:
Size of the total moment: 0.00 μB per formula unit
Total energy: -4.58 eV per atom
ρ: 7.1 g cm⁻³
E_form (uncorrected): 215 meV per atom

```
data_Mg2TaSb
_cell_length_a 3.1944
_cell_length_b 4.3437
_cell_length_c 5.9548
_cell_angle_alpha 90.00
_cell_angle_beta 90.00
_cell_angle_gamma 90.00
_symmetry_space_group_name_H-M 'P 1'
_symmetry_Int_Tables_number 1
_symmetry_space_group_name_Hall 'P 1'
loop_
_atom_site_label
_atom_site_fract_x
_atom_site_fract_y
_atom_site_fract_z
_atom_site_occupancy
Mg1 0.0000 0.0000 0.9830 1
Mg2 0.0000 0.0000 0.5170 1
Sb1 0.5000 0.5000 0.2500 1
Ta1 0.5000 0.5000 0.7500 1
```